No. 1
Computed, not measured: a relaxed HfZrScAu2 crystal at the GGA-PBE level of DFT.

Output
- Energy relative to the elements: 0.7260 eV/atom
- Energy: -5.552 eV/atom

a = 5.0711 Å, b = 4.9816 Å, c = 5.0711 Å
α = 90.00°, β = 90.00°, γ = 90.00°
Site moments in Bohr magnetons follow the coordinates.
Element x y z (fractional)
Sc 0.0000 0.5000 0.0000  0.15
Au 0.5000 0.0000 0.0000  0.00
Au 0.0000 0.0000 0.5000  0.01
Zr 0.5000 0.5000 0.5000  0.83
Hf 0.0000 0.0000 0.0000  -0.07



No. 2
Computed, not measured: a relaxed Hf2Au2Se crystal at the GGA-PBE level of DFT.

Output
- Energy relative to the elements, uncorrected: -0.59 eV/atom
- Energy: -6.581 eV/atom

a = 7.0883 Å, b = 7.0883 Å, c = 4.1248 Å
α = 90.00°, β = 90.00°, γ = 90.00°
Element x y z (fractional)
Hf 0.3375 0.8375 0.0000
Hf 0.6625 0.1625 0.0000
Hf 0.8375 0.6625 0.0000
Hf 0.1625 0.3375 0.0000
Au 0.3614 0.1386 0.5000
Au 0.8614 0.3614 0.5000
Au 0.1386 0.6386 0.5000
Au 0.6386 0.8614 0.5000
Se 0.0000 0.0000 0.0000
Se 0.5000 0.5000 0.0000



No. 3
Computed, not measured: a relaxed Hf2AuSe crystal at the GGA-PBE level of DFT.

Output
- Energy relative to the elements, uncorrected: -0.07 eV/atom
- Energy: -6.733 eV/atom

a = 5.8821 Å, b = 5.8821 Å, c = 7.6262 Å
α = 67.32°, β = 67.32°, γ = 90.00°
Element x y z (fractional)
Hf 0.8750 0.8789 0.7500
Hf 0.1211 0.6250 0.2500
Hf 0.3750 0.3711 0.7500
Hf 0.6289 0.1250 0.2500
Se 0.5000 0.5000 0.0000
Se 0.2500 0.7500 0.5000
Au 0.0000 0.0000 0.0000
Au 0.7500 0.2500 0.5000



No. 4
Computed, not measured: a relaxed HfAuSe3 crystal at the GGA-PBE level of DFT.

Output
- Energy relative to the elements, uncorrected: -0.10 eV/atom
- Energy: -4.838 eV/atom

a = 5.1566 Å, b = 5.1566 Å, c = 5.1566 Å
α = 90.00°, β = 90.00°, γ = 90.00°
Element x y z (fractional)
Hf 0.0000 0.0000 0.0000
Se 0.0000 0.0000 0.5000
Se 0.0000 0.5000 0.0000
Se 0.5000 0.0000 0.0000
Au 0.5000 0.5000 0.5000



Number 1: spin magnetization 1.5 μB per formula unit. Number 2: spin magnetization 0.0 μB per formula unit. Number 3: spin magnetization 0.0 μB per formula unit. Number 4: spin magnetization 0.0 μB per formula unit.